Record 1
Sc4MnSi7 | PBE | optimized geometry

Computed properties:
- Space-group type: No. 25
- Total DFT energy (no corrections): -0.2382 hartree per atom

Lattice parameters (Å, degrees): 3.6720 3.8491 13.9824 90.00 90.00 90.00
Atoms (fractional coordinates):
Sc 0.0000 0.0000 0.0000
Sc 0.0000 0.5000 0.4841
Sc 0.5000 0.0000 0.7882
Sc 0.5000 0.5000 0.3018
Mn 0.0000 0.0000 0.2915
Si 0.0000 0.0000 0.6308
Si 0.0000 0.5000 0.1561
Si 0.0000 0.5000 0.8326
Si 0.5000 0.0000 0.1561
Si 0.5000 0.0000 0.4309
Si 0.5000 0.5000 0.6403
Si 0.5000 0.5000 0.9433

---

Record 2
Sc2MnSi | PBE | optimized geometry

Computed properties:
- Space-group type: No. 25
- Total DFT energy (no corrections): -0.2534 hartree per atom

Lattice parameters (Å, degrees): 3.1955 3.9811 5.7621 90.00 90.00 90.00
Atoms (fractional coordinates):
Sc 0.0000 0.0000 0.0000
Sc 0.5000 0.5000 0.3017
Mn 0.5000 0.5000 0.7728
Si 0.0000 0.0000 0.5175

---

Record 3
ScMn2Si2 | PBE | optimized geometry

Computed properties:
- Space-group type: No. 127
- Total DFT energy (no corrections): -0.2750 hartree per atom

Lattice parameters (Å, degrees): 6.9637 6.9637 2.7583 90.00 90.00 90.00
Atoms (fractional coordinates):
Sc 0.0000 0.0000 0.0000
Sc 0.5000 0.5000 0.0000
Mn 0.1509 0.3491 0.5000
Mn 0.3491 0.8491 0.5000
Mn 0.6509 0.1509 0.5000
Mn 0.8491 0.6509 0.5000
Si 0.1372 0.6372 0.0000
Si 0.3628 0.1372 0.0000
Si 0.6372 0.8628 0.0000
Si 0.8628 0.3628 0.0000

---

Record 4
Sc2MnSi | PBE | optimized geometry

Computed properties:
- Space-group type: No. 166
- Total DFT energy (no corrections): -0.2372 hartree per atom

Lattice parameters (Å, degrees): 9.0231 9.0231 9.0231 19.37 19.37 19.37
Atoms (fractional coordinates):
Sc 0.0861 0.0861 0.0861
Sc 0.9139 0.9139 0.9139
Mn 0.0000 0.0000 0.0000
Si 0.5000 0.5000 0.5000

---

Record 5
Sc2MnSi | PBE | optimized geometry

Computed properties:
- Space-group type: No. 38
- Total DFT energy (no corrections): -0.2654 hartree per atom

Lattice parameters (Å, degrees): 4.1047 5.4618 5.4618 36.62 90.00 90.00
Atoms (fractional coordinates):
Sc 0.0000 0.0000 0.0000
Sc 0.5000 0.2989 0.2989
Mn 0.0000 0.7158 0.7158
Si 0.5000 0.5821 0.5821

---

Record 6
Sc2MnSi2 | PBE | optimized geometry

Computed properties:
- Space-group type: No. 127
- Total DFT energy (no corrections): -0.2424 hartree per atom

Lattice parameters (Å, degrees): 7.9087 7.9087 2.9746 90.00 90.00 90.00
Atoms (fractional coordinates):
Sc 0.1297 0.3703 0.0000
Sc 0.3703 0.8703 0.0000
Sc 0.6297 0.1297 0.0000
Sc 0.8703 0.6297 0.0000
Mn 0.0000 0.0000 0.0000
Mn 0.5000 0.5000 0.0000
Si 0.1730 0.6730 0.5000
Si 0.3270 0.1730 0.5000
Si 0.6730 0.8270 0.5000
Si 0.8270 0.3270 0.5000

---

Record 7
ScMn3Si2 | PBE | optimized geometry

Computed properties:
- Space-group type: No. 12
- Total DFT energy (no corrections): -0.2893 hartree per atom

Lattice parameters (Å, degrees): 7.9364 7.9364 9.1234 105.68 105.68 27.24
Atoms (fractional coordinates):
Sc 0.0000 0.0000 0.0000
Sc 0.1633 0.1633 0.7159
Sc 0.8367 0.8367 0.2841
Mn 0.0436 0.0436 0.3646
Mn 0.2060 0.2060 0.4004
Mn 0.3182 0.3182 0.0224
Mn 0.3810 0.3810 0.7859
Mn 0.5000 0.5000 0.5000
Mn 0.6190 0.6190 0.2141
Mn 0.6818 0.6818 0.9776
Mn 0.7940 0.7940 0.5996
Mn 0.9564 0.9564 0.6354
Si 0.1972 0.1972 0.1398
Si 0.3565 0.3565 0.5166
Si 0.4596 0.4596 0.2158
Si 0.5404 0.5404 0.7842
Si 0.6435 0.6435 0.4834
Si 0.8028 0.8028 0.8602

---

Record 8
ScMnSi4 | PBE | optimized geometry

Computed properties:
- Space-group type: No. 216
- Total DFT energy (no corrections): -0.2275 hartree per atom

Lattice parameters (Å, degrees): 5.0199 5.0199 5.0199 60.00 60.00 60.00
Atoms (fractional coordinates):
Sc 0.0000 0.0000 0.0000
Mn 0.2500 0.2500 0.2500
Si 0.1278 0.6241 0.6241
Si 0.6241 0.1278 0.6241
Si 0.6241 0.6241 0.1278
Si 0.6241 0.6241 0.6241

---

- Which value of total DFT energy (no corrections) does entry 4 give?
  -0.2372 hartree per atom